[1]
Co2HgMo: relaxed, PBE-GGA. Values from VASP.

The structure in Quantum ESPRESSO input format:
```
&SYSTEM
  ibrav = 0, nat = 4, ntyp = 3
/
ATOMIC_SPECIES
Hg 200.59 Hg.upf
Co 58.93 Co.upf
Mo 95.94 Mo.upf
ATOMIC_POSITIONS angstrom
Hg 6.3715 1.0444 0.6138
Co 12.5760 2.0614 1.2115
Co 0.1670 0.0274 0.0161
Mo 19.1145 3.1332 1.8413
CELL_PARAMETERS angstrom
8.7995 0.0134 0.0079
8.3433 2.7966 0.0079
8.3433 1.3676 2.4394
```

uncorrected energy: -5.919 eV/atom
space group: R-3m, No. 166
formation energy from the elements: 418 meV per atom

[2]
La2YTmTh: relaxed, PBE-GGA. Values from VASP.

The structure in Quantum ESPRESSO input format:
```
&SYSTEM
  ibrav = 0, nat = 10, ntyp = 4
/
ATOMIC_SPECIES
Th 232.04 Th.upf
Tm 168.93 Tm.upf
La 138.91 La.upf
Y 88.91 Y.upf
ATOMIC_POSITIONS angstrom
Th 0.0000 0.0000 0.0000
Tm -5.6600 1.3484 -0.0156
La -5.7227 -1.8182 -1.2256
La -6.4543 -4.8355 -0.4645
Tm -3.1051 0.3071 -1.7409
Th -2.5630 1.0403 1.7138
La -2.4821 -5.7112 -0.1708
Y -4.0313 -4.4263 -3.2794
La -1.7505 -2.6939 -0.9319
Y -4.1735 -3.1031 1.8830
CELL_PARAMETERS angstrom
-3.6391 -0.4253 -5.1841
0.5603 -9.1848 0.3601
-5.1259 2.0807 3.4276
```

uncorrected energy: -5.325 eV/atom
space group: P2/c, No. 13
formation energy from the elements: 317 meV per atom

[3]
Ho3InIr2: relaxed, PBE-GGA. Values from VASP.

The structure in Quantum ESPRESSO input format:
```
&SYSTEM
  ibrav = 0, nat = 6, ntyp = 3
/
ATOMIC_SPECIES
Ho 164.93 Ho.upf
In 114.82 In.upf
Ir 192.22 Ir.upf
ATOMIC_POSITIONS angstrom
Ho 5.3482 -6.3083 1.6736
In 1.9540 -5.8325 1.8204
Ir -0.6819 -2.7234 0.9955
Ir 4.5899 -8.9416 2.6453
Ho 2.2070 -2.6032 0.6907
Ho 0.0000 0.0000 0.0000
CELL_PARAMETERS angstrom
-1.6195 -0.6105 2.8742
-2.0277 -2.1430 -1.5977
7.5552 -8.9115 2.3643
```

uncorrected energy: -6.431 eV/atom
offset from the most stable computed form: 0.00 eV per formula unit
space group: P4/mmm, No. 123
formation energy from the elements: -732 meV per atom

[4]
ThInAs2: relaxed, PBE-GGA. Values from VASP.

The structure in Quantum ESPRESSO input format:
```
&SYSTEM
  ibrav = 0, nat = 4, ntyp = 3
/
ATOMIC_SPECIES
As 74.92 As.upf
In 114.82 In.upf
Th 232.04 Th.upf
ATOMIC_POSITIONS angstrom
As 2.1393 1.2351 5.2321
In 4.2785 2.4702 3.5673
As 2.1393 1.2351 1.5971
Th 4.2785 2.4702 0.0305
CELL_PARAMETERS angstrom
4.2785 0.0000 0.0000
2.1393 3.7053 0.0000
2.1393 1.2351 6.9513
```

uncorrected energy: -5.446 eV/atom
offset from the most stable computed form: 0.51 eV per formula unit
space group: R3m, No. 160
formation energy from the elements: -582 meV per atom

[5]
La2Tl2Sb: relaxed, PBE-GGA. Values from VASP.

The structure in Quantum ESPRESSO input format:
```
&SYSTEM
  ibrav = 0, nat = 10, ntyp = 3
/
ATOMIC_SPECIES
Sb 121.76 Sb.upf
Tl 204.38 Tl.upf
La 138.91 La.upf
ATOMIC_POSITIONS angstrom
Sb 0.0000 0.0000 0.0000
Tl -2.7722 2.5606 1.4371
La -2.1056 -0.6611 2.2356
Sb -5.1858 -0.3826 2.7857
La -8.2661 -0.1042 3.3359
Tl -2.3830 0.6281 5.5115
La -4.8061 -1.7346 5.5958
Tl -6.8378 1.0982 6.1599
La -5.5656 0.9693 -0.0243
Tl -7.2270 3.0306 2.0856
CELL_PARAMETERS angstrom
-7.8456 2.1811 -1.8135
-2.5261 -2.9464 7.3849
0.7617 4.4240 2.0256
```

uncorrected energy: -4.176 eV/atom
offset from the most stable computed form: 0.22 eV per formula unit
space group: P4/mbm, No. 127
energy relative to the elements, uncorrected: -0.434 eV/atom